No. 1
This record from Alexandria describes crystalline Cu2AgAu at its relaxed geometry. The functional is GGA-PBE.

Cell lengths 9.669, 2.825, 4.642 Å; angles 90.00, 108.76, 90.00 degrees
Space group Cm (No. 8)
One atom of each set of equivalent atoms:
1 Cu 0.000 0.000 0.000
2 Cu 0.218 0.500 0.300
3 Ag 0.473 0.000 0.482
4 Au 0.249 0.000 0.822

Results
ΔH_f (0 K), meV per atom: 18
Relative energy among the computed polymorphs, meV/atom: 1

=====

No. 2
This record from Alexandria describes crystalline CuAg4Au5 at its relaxed geometry. The functional is GGA-PBE.

Cell lengths 2.903, 2.903, 20.717 Å; angles 90.00, 90.00, 90.00 degrees
Space group P4/mmm (No. 123)
One atom of each set of equivalent atoms:
1 Cu 0.000 0.000 0.000
2 Ag 0.000 0.000 0.190
3 Ag 0.000 0.000 0.397
4 Au 0.500 0.500 0.086
5 Au 0.500 0.500 0.294
6 Au 0.500 0.500 0.500

Results
ΔH_f (0 K), meV per atom: -46

=====

No. 3
This record from Alexandria describes crystalline Cu2AgAu8 at its relaxed geometry. The functional is GGA-PBE.

Cell lengths 8.330, 11.169, 4.196 Å; angles 90.00, 90.00, 90.00 degrees
Space group Cmmm (No. 65)
One atom of each set of equivalent atoms:
1 Cu 0.000 0.112 0.000
2 Ag 0.000 0.500 0.500
3 Au 0.000 0.245 0.500
4 Au 0.165 0.000 0.500
5 Au 0.177 0.365 0.000

Results
ΔH_f (0 K), meV per atom: 34
Relative energy among the computed polymorphs, meV/atom: 55

=====

No. 4
This record from Alexandria describes crystalline CuAgAu at its relaxed geometry. The functional is GGA-PBE.

Cell lengths 2.870, 3.797, 8.887 Å; angles 90.00, 90.00, 90.00 degrees
Space group Imm2 (No. 44)
One atom of each set of equivalent atoms:
1 Cu 0.000 0.000 0.000
2 Ag 0.000 0.000 0.663
3 Au 0.000 0.000 0.346

Results
ΔH_f (0 K), meV per atom: 19
Relative energy among the computed polymorphs, meV/atom: 37

=====

No. 5
This record from Alexandria describes crystalline CuAg2Au at its relaxed geometry. The functional is GGA-PBE.

Cell lengths 9.411, 2.950, 4.923 Å; angles 90.00, 102.38, 90.00 degrees
Space group Cm (No. 8)
One atom of each set of equivalent atoms:
1 Cu 0.000 0.000 0.000
2 Ag 0.003 0.500 0.502
3 Ag 0.244 0.500 0.249
4 Au 0.261 0.000 0.768

Results
ΔH_f (0 K), meV per atom: 35
Relative energy among the computed polymorphs, meV/atom: 44

=====

No. 6
This record from Alexandria describes crystalline Cu2AgAu at its relaxed geometry. The functional is GGA-PBE.

Cell lengths 7.036, 7.036, 5.377 Å; angles 90.00, 90.00, 90.00 degrees
Space group I-42d (No. 122)
One atom of each set of equivalent atoms:
1 Cu 0.246 0.250 0.125
2 Ag 0.000 0.000 0.500
3 Au 0.000 0.000 0.000

Results
ΔH_f (0 K), meV per atom: 284
Relative energy among the computed polymorphs, meV/atom: 267

=====

No. 7
This record from Alexandria describes crystalline EuCuAgAu at its relaxed geometry. The functional is GGA-PBE.

Cell lengths 6.961, 6.961, 6.961 Å; angles 90.00, 90.00, 90.00 degrees
Space group F-43m (No. 216)
One atom of each set of equivalent atoms:
1 Eu 0.000 0.000 0.000
2 Cu 0.250 0.250 0.750
3 Ag 0.000 0.000 0.500
4 Au 0.250 0.250 0.250

Results
ΔH_f (0 K), meV per atom: -214

=====

No. 8
This record from Alexandria describes crystalline CuAgAuF6 at its relaxed geometry. The functional is GGA-PBE.

Cell lengths 5.6539, 5.6539, 9.4701 Å; angles 90.00, 90.00, 120.00 degrees
Space group P-31c (No. 163)
One atom of each set of equivalent atoms:
1 Cu 0.3333 0.6667 0.2500
2 Ag 0.0000 0.0000 0.0000
3 Au 0.3333 0.6667 0.7500
4 F 0.0288 0.3652 0.1375

Results
Formation energy (no corrections), eV per atom: -1.1279

=====

No. 9
This record from Alexandria describes crystalline GaCu2Ag2Au5 at its relaxed geometry. The functional is GGA-PBE.

Cell lengths 9.490, 9.490, 3.886 Å; angles 90.00, 90.00, 90.00 degrees
Space group P4/mbm (No. 127)
One atom of each set of equivalent atoms:
1 Ga 0.000 0.000 0.000
2 Cu 0.128 0.372 0.000
3 Ag 0.165 0.665 0.000
4 Au 0.000 0.500 0.500
5 Au 0.094 0.189 0.500

Results
ΔH_f (0 K), meV per atom: -13

=====

No. 10
This record from Alexandria describes crystalline GaCuAgAu at its relaxed geometry. The functional is GGA-PBE.

Cell lengths 4.656, 2.900, 10.244 Å; angles 90.00, 90.00, 90.00 degrees
Space group Amm2 (No. 38)
One atom of each set of equivalent atoms:
1 Ga 0.000 0.000 0.000
2 Cu 0.500 0.000 0.592
3 Ag 0.500 0.000 0.867
4 Au 0.000 0.000 0.722

Results
ΔH_f (0 K), meV per atom: 46

=====

No. 11
This record from Alexandria describes crystalline CuAgGeAu at its relaxed geometry. The functional is GGA-PBE.

Cell lengths 6.434, 6.434, 6.434 Å; angles 90.00, 90.00, 90.00 degrees
Space group F-43m (No. 216)
One atom of each set of equivalent atoms:
1 Cu 0.000 0.000 0.000
2 Ag 0.250 0.250 0.250
3 Ge 0.000 0.000 0.500
4 Au 0.250 0.250 0.750

Results
ΔH_f (0 K), meV per atom: 88

=====

No. 12
This record from Alexandria describes crystalline CuAgHAu2 at its relaxed geometry. The functional is GGA-PBE.

Cell lengths 4.245, 4.245, 3.871 Å; angles 90.00, 90.00, 90.00 degrees
Space group P4/mmm (No. 123)
One atom of each set of equivalent atoms:
1 Cu 0.000 0.000 0.000
2 Ag 0.500 0.500 0.000
3 H 0.000 0.000 0.500
4 Au 0.000 0.500 0.500

Results
Relative energy among the computed polymorphs, meV/atom: 0

=====

> Which formula does entry 12 have?

CuAgHAu2